[1]
Density functional theory data (PBE) for a relaxed structure of TlTcTe2.

## Properties
ρ in g cm⁻³: 10.0
E above lowest polymorph in eV/atom: 0.502
Formation energy (no corrections) in eV per atom: 0.523
VASP energy in eV per atom: -4.23

Unit cell a=5.080 b=5.080 c=5.080 alpha=60.00 beta=60.00 gamma=60.00
Fractional coordinates of all 4 atoms:
Tl (0.000, 0.000, 0.000)
Tc (0.500, 0.500, 0.500)
Te (0.250, 0.250, 0.250)
Te (0.750, 0.750, 0.750)

***

[2]
Density functional theory data (PBE) for a relaxed structure of TlTcTe2.

## Properties
ρ in g cm⁻³: 9.3
E above lowest polymorph in eV/atom: 0.635
Formation energy (no corrections) in eV per atom: 0.656
VASP energy in eV per atom: -4.10

Unit cell a=5.332 b=5.332 c=3.510 alpha=90.00 beta=90.00 gamma=90.00
Fractional coordinates of all 4 atoms:
Tl (0.000, 0.000, 0.000)
Tc (0.500, 0.500, 0.000)
Te (0.000, 0.500, 0.500)
Te (0.500, 0.000, 0.500)

***

[3]
Density functional theory data (PBE) for a relaxed structure of Tl2TcTe.

## Properties
ρ in g cm⁻³: 10.2
E above lowest polymorph in eV/atom: 0.096
Formation energy (no corrections) in eV per atom: 0.257
VASP energy in eV per atom: -4.30

Unit cell a=3.326 b=7.154 c=7.154 alpha=37.46 beta=90.00 gamma=90.00
Fractional coordinates of all 4 atoms:
Tl (0.000, 0.000, 0.000)
Tl (0.500, 0.321, 0.321)
Tc (0.000, 0.789, 0.789)
Te (0.500, 0.636, 0.636)